The following is a SCAN calculation of a crystal of MnBePt4 relaxed with PBEsol, from Alexandria.

Output
energy relative to the elements: -0.070 eV per atom
E: -50.633 eV/atom
magnetic moment: 4.28 μB per cell
calculated volume: 16.0 A^3/atom
space-group type: No. 216

The structure in POSCAR format:
```
MnBePt4
1.0
0.000 3.636 3.636
3.636 0.000 3.636
3.636 3.636 0.000
Mn Be Pt
1 1 4
Cartesian
0.000 0.000 0.000 Mn
5.454 5.454 5.454 Be
2.729 2.729 2.729 Pt
4.544 4.544 2.729 Pt
4.544 2.729 4.544 Pt
2.729 4.544 4.544 Pt
```

The following is a SCAN calculation of a crystal of MnBePtRh2 relaxed with PBEsol, from Alexandria.

Output
energy relative to the elements: 0.907 eV per atom
E: -31.162 eV/atom
magnetic moment: 0.00 μB per cell
calculated volume: 14.5 A^3/atom
space-group type: No. 123

The structure in POSCAR format:
```
MnBePtRh2
1.0
4.274 0.000 0.000
0.000 4.274 0.000
0.000 0.000 3.963
Mn Be Pt Rh
1 1 1 2
Cartesian
0.000 0.000 0.000 Mn
0.000 0.000 1.981 Be
2.137 2.137 1.981 Pt
0.000 2.137 0.000 Rh
2.137 0.000 0.000 Rh
```

The following is a SCAN calculation of a crystal of RbMn3Be relaxed with PBEsol, from Alexandria.

Output
energy relative to the elements: 0.707 eV per atom
E: -15.265 eV/atom
magnetic moment: 12.67 μB per cell
calculated volume: 18.6 A^3/atom
space-group type: No. 221

The structure in POSCAR format:
```
RbMn3Be
1.0
4.529 0.000 0.000
0.000 4.529 0.000
0.000 0.000 4.529
Rb Mn Be
1 3 1
Cartesian
0.000 0.000 0.000 Rb
0.000 2.265 2.265 Mn
2.265 0.000 2.265 Mn
2.265 2.265 0.000 Mn
2.265 2.265 2.265 Be
```

The following is a SCAN calculation of a crystal of Mn2BeRe relaxed with PBEsol, from Alexandria.

Output
energy relative to the elements: 0.036 eV per atom
E: -27.955 eV/atom
magnetic moment: 0.01 μB per cell
calculated volume: 11.1 A^3/atom
space-group type: No. 10

The structure in POSCAR format:
```
Mn2BeRe
1.0
2.502 0.000 0.000
0.000 3.945 0.000
-0.899 0.000 4.498
Mn Be Re
2 1 1
Cartesian
0.351 0.000 1.017 Mn
1.253 0.000 3.482 Mn
1.251 1.972 0.000 Be
-0.449 1.972 2.249 Re
```

The following is a SCAN calculation of a crystal of MnBeRe relaxed with PBEsol, from Alexandria.

Output
energy relative to the elements: 0.186 eV per atom
E: -31.049 eV/atom
magnetic moment: 0.00 μB per cell
calculated volume: 11.7 A^3/atom
space-group type: No. 156

The structure in POSCAR format:
```
MnBeRe
1.0
2.631 0.000 0.000
-1.316 2.279 0.000
0.000 0.000 5.848
Mn Be Re
1 1 1
Cartesian
0.000 0.000 0.000 Mn
1.316 0.760 1.831 Be
0.000 1.519 3.861 Re
```

The following is a SCAN calculation of a crystal of Mn2BeRe relaxed with PBEsol, from Alexandria.

Output
energy relative to the elements: -0.116 eV per atom
E: -28.106 eV/atom
magnetic moment: 4.93 μB per cell
calculated volume: 11.0 A^3/atom
space-group type: No. 216

The structure in POSCAR format:
```
Mn2BeRe
1.0
0.000 2.804 2.804
2.804 0.000 2.804
2.804 2.804 0.000
Mn Be Re
2 1 1
Cartesian
0.000 0.000 0.000 Mn
1.402 1.402 1.402 Mn
2.804 2.804 2.804 Be
4.206 4.206 4.206 Re
```

The following is a SCAN calculation of a crystal of Sr2MnBeRe relaxed with PBEsol, from Alexandria.

Output
energy relative to the elements: 1.121 eV per atom
E: -26.531 eV/atom
magnetic moment: 2.55 μB per cell
calculated volume: 29.8 A^3/atom
space-group type: No. 123

The structure in POSCAR format:
```
Sr2MnBeRe
1.0
5.805 0.000 0.000
0.000 5.805 0.000
0.000 0.000 4.423
Sr Mn Be Re
2 1 1 1
Cartesian
0.000 2.903 0.000 Sr
2.903 0.000 0.000 Sr
0.000 0.000 2.211 Mn
2.903 2.903 2.211 Be
0.000 0.000 0.000 Re
```

The following is a SCAN calculation of a crystal of MnBeRu relaxed with PBEsol, from Alexandria.

Output
energy relative to the elements: 0.405 eV per atom
E: -18.740 eV/atom
magnetic moment: 0.02 μB per cell
calculated volume: 12.7 A^3/atom
space-group type: No. 216

The structure in POSCAR format:
```
MnBeRu
1.0
0.000 2.673 2.673
2.673 0.000 2.673
2.673 2.673 0.000
Mn Be Ru
1 1 1
Cartesian
0.000 0.000 0.000 Mn
2.673 2.673 2.673 Be
4.010 4.010 4.010 Ru
```

The following is a SCAN calculation of a crystal of Mn2BeRu relaxed with PBEsol, from Alexandria.

Output
energy relative to the elements: -0.141 eV per atom
E: -19.063 eV/atom
magnetic moment: 0.76 μB per cell
calculated volume: 10.4 A^3/atom
space-group type: No. 99

The structure in POSCAR format:
```
Mn2BeRu
1.0
2.733 0.000 0.000
0.000 2.733 0.000
0.000 0.000 5.549
Mn Be Ru
2 1 1
Cartesian
0.000 0.000 0.000 Mn
1.366 1.366 1.261 Mn
1.366 1.366 4.295 Be
0.000 0.000 2.935 Ru
```

The following is a SCAN calculation of a crystal of Mn2BeRu relaxed with PBEsol, from Alexandria.

Output
energy relative to the elements: -0.102 eV per atom
E: -19.025 eV/atom
magnetic moment: 0.01 μB per cell
calculated volume: 10.4 A^3/atom
space-group type: No. 71

The structure in POSCAR format:
```
Mn2BeRu
1.0
-1.399 1.859 3.995
1.399 -1.859 3.995
1.399 1.859 -3.995
Mn Be Ru
2 1 1
Cartesian
0.000 0.000 1.942 Mn
0.000 0.000 6.049 Mn
1.399 0.000 0.000 Be
0.000 1.859 0.000 Ru
```

The following is a SCAN calculation of a crystal of MnBeRu2 relaxed with PBEsol, from Alexandria.

Output
energy relative to the elements: -0.303 eV per atom
E: -23.368 eV/atom
magnetic moment: 1.98 μB per cell
calculated volume: 11.4 A^3/atom
space-group type: No. 123

The structure in POSCAR format:
```
MnBeRu2
1.0
2.818 0.000 0.000
0.000 2.818 0.000
0.000 0.000 5.735
Mn Be Ru
1 1 2
Cartesian
0.000 0.000 0.000 Mn
0.000 0.000 2.867 Be
1.409 1.409 1.518 Ru
1.409 1.409 4.217 Ru
```

The following is a SCAN calculation of a crystal of MnBeRu3 relaxed with PBEsol, from Alexandria.

Output
energy relative to the elements: 1.483 eV per atom
E: -23.934 eV/atom
magnetic moment: 0.00 μB per cell
calculated volume: 15.8 A^3/atom
space-group type: No. 221

The structure in POSCAR format:
```
MnBeRu3
1.0
4.289 0.000 0.000
0.000 4.289 0.000
0.000 0.000 4.289
Mn Be Ru
1 1 3
Cartesian
0.000 0.000 0.000 Mn
2.144 2.144 2.144 Be
0.000 0.000 2.144 Ru
0.000 2.144 0.000 Ru
2.144 0.000 0.000 Ru
```

The following is a SCAN calculation of a crystal of MnBe4Ru relaxed with PBEsol, from Alexandria.

Output
energy relative to the elements: -0.461 eV per atom
E: -12.210 eV/atom
magnetic moment: 3.02 μB per cell
calculated volume: 9.0 A^3/atom
space-group type: No. 216

The structure in POSCAR format:
```
MnBe4Ru
1.0
0.000 2.998 2.998
2.998 0.000 2.998
2.998 2.998 0.000
Mn Be Ru
1 4 1
Cartesian
0.000 0.000 0.000 Mn
3.748 2.247 2.247 Be
2.247 3.748 2.247 Be
2.247 2.247 3.748 Be
3.748 3.748 3.748 Be
1.499 1.499 1.499 Ru
```

The following is a SCAN calculation of a crystal of MnBeRu relaxed with PBEsol, from Alexandria.

Output
energy relative to the elements: -0.193 eV per atom
E: -19.338 eV/atom
magnetic moment: 0.03 μB per cell
calculated volume: 10.4 A^3/atom
space-group type: No. 107

The structure in POSCAR format:
```
MnBeRu
1.0
-1.363 1.363 4.205
1.363 -1.363 4.205
1.363 1.363 -4.205
Mn Be Ru
1 1 1
Cartesian
0.000 0.000 0.000 Mn
0.000 0.000 5.480 Be
0.000 0.000 2.713 Ru
```

The following is a SCAN calculation of a crystal of ZrMn2BeRu relaxed with PBEsol, from Alexandria.

Output
energy relative to the elements: 1.617 eV per atom
E: -19.661 eV/atom
magnetic moment: 6.51 μB per cell
calculated volume: 19.3 A^3/atom
space-group type: No. 123

The structure in POSCAR format:
```
ZrMn2BeRu
1.0
4.559 0.000 0.000
0.000 4.559 0.000
0.000 0.000 4.641
Zr Mn Be Ru
1 2 1 1
Cartesian
0.000 0.000 0.000 Zr
0.000 2.279 0.000 Mn
2.279 0.000 0.000 Mn
2.279 2.279 2.321 Be
0.000 0.000 2.321 Ru
```

The following is a SCAN calculation of a crystal of Mn2BeSb relaxed with PBEsol, from Alexandria.

Output
E: -19.210 eV/atom
magnetic moment: 1.27 μB per cell
formation energy (no corrections): 0.321 eV per atom
calculated volume: 12.3 A^3/atom
space-group type: No. 99

The structure in POSCAR format:
```
Mn2BeSb
1.0
2.978 0.000 0.000
0.000 2.978 0.000
0.000 0.000 5.552
Mn Be Sb
2 1 1
Cartesian
0.000 0.000 0.000 Mn
1.489 1.489 1.459 Mn
1.489 1.489 4.739 Be
0.000 0.000 2.961 Sb
```

The following is a SCAN calculation of a crystal of Mn3BeSb relaxed with PBEsol, from Alexandria.

Output
E: -18.215 eV/atom
magnetic moment: 11.31 μB per cell
formation energy (no corrections): 1.061 eV per atom
calculated volume: 22.5 A^3/atom
space-group type: No. 221

The structure in POSCAR format:
```
Mn3BeSb
1.0
4.828 0.000 0.000
0.000 4.828 0.000
0.000 0.000 4.828
Mn Be Sb
3 1 1
Cartesian
0.000 0.000 2.414 Mn
0.000 2.414 0.000 Mn
2.414 0.000 0.000 Mn
2.414 2.414 2.414 Be
0.000 0.000 0.000 Sb
```

The following is a SCAN calculation of a crystal of MnBe2Sb relaxed with PBEsol, from Alexandria.

Output
E: -15.889 eV/atom
magnetic moment: 1.93 μB per cell
formation energy (no corrections): 0.167 eV per atom
calculated volume: 12.2 A^3/atom
space-group type: No. 119

The structure in POSCAR format:
```
MnBe2Sb
1.0
-1.787 1.787 3.818
1.787 -1.787 3.818
1.787 1.787 -3.818
Mn Be Sb
1 2 1
Cartesian
0.000 0.000 0.000 Mn
1.787 0.000 1.909 Be
0.000 0.000 3.818 Be
0.000 1.787 1.909 Sb
```

The following is a SCAN calculation of a crystal of Mn2BeSb relaxed with PBEsol, from Alexandria.

Output
E: -19.319 eV/atom
magnetic moment: 2.97 μB per cell
formation energy (no corrections): 0.212 eV per atom
calculated volume: 12.6 A^3/atom
space-group type: No. 216

The structure in POSCAR format:
```
Mn2BeSb
1.0
0.000 2.934 2.934
2.934 0.000 2.934
2.934 2.934 0.000
Mn Be Sb
2 1 1
Cartesian
0.000 0.000 0.000 Mn
1.467 1.467 1.467 Mn
4.401 4.401 4.401 Be
2.934 2.934 2.934 Sb
```

The following is a SCAN calculation of a crystal of MnBeSbSe2 relaxed with PBEsol, from Alexandria.

Output
E: -19.446 eV/atom
magnetic moment: 5.44 μB per cell
formation energy (no corrections): 0.559 eV per atom
calculated volume: 25.7 A^3/atom
space-group type: No. 123

The structure in POSCAR format:
```
MnBeSbSe2
1.0
5.380 0.000 0.000
0.000 5.380 0.000
0.000 0.000 4.433
Mn Be Sb Se
1 1 1 2
Cartesian
0.000 0.000 0.000 Mn
2.690 2.690 0.000 Be
2.690 2.690 2.217 Sb
0.000 2.690 2.217 Se
2.690 0.000 2.217 Se
```

The following is a SCAN calculation of a crystal of ZrMnBeSb2 relaxed with PBEsol, from Alexandria.

Output
E: -24.808 eV/atom
magnetic moment: 5.15 μB per cell
formation energy (no corrections): 0.758 eV per atom
calculated volume: 27.4 A^3/atom
space-group type: No. 123

The structure in POSCAR format:
```
ZrMnBeSb2
1.0
5.396 0.000 0.000
0.000 5.396 0.000
0.000 0.000 4.704
Zr Mn Be Sb
1 1 1 2
Cartesian
0.000 0.000 0.000 Zr
2.698 2.698 2.352 Mn
0.000 0.000 2.352 Be
0.000 2.698 0.000 Sb
2.698 0.000 0.000 Sb
```

The following is a SCAN calculation of a crystal of ScMnBe2 relaxed with PBEsol, from Alexandria.

Output
energy relative to the elements: 0.159 eV per atom
E: -10.141 eV/atom
magnetic moment: 4.17 μB per cell
calculated volume: 12.7 A^3/atom
space-group type: No. 216

The structure in POSCAR format:
```
ScMnBe2
1.0
0.000 2.936 2.936
2.936 0.000 2.936
2.936 2.936 0.000
Sc Mn Be
1 1 2
Cartesian
0.000 0.000 0.000 Sc
1.468 1.468 1.468 Mn
2.936 2.936 2.936 Be
4.405 4.405 4.405 Be
```

The following is a SCAN calculation of a crystal of ScMnBe2 relaxed with PBEsol, from Alexandria.

Output
energy relative to the elements: -0.138 eV per atom
E: -10.438 eV/atom
magnetic moment: 3.26 μB per cell
calculated volume: 12.3 A^3/atom
space-group type: No. 225

The structure in POSCAR format:
```
ScMnBe2
1.0
0.000 2.907 2.907
2.907 0.000 2.907
2.907 2.907 0.000
Sc Mn Be
1 1 2
Cartesian
0.000 0.000 0.000 Sc
2.907 2.907 2.907 Mn
1.453 1.453 1.453 Be
4.360 4.360 4.360 Be
```

The following is a SCAN calculation of a crystal of ScMnBe2 relaxed with PBEsol, from Alexandria.

Output
energy relative to the elements: 0.012 eV per atom
E: -10.288 eV/atom
magnetic moment: 2.58 μB per cell
calculated volume: 12.3 A^3/atom
space-group type: No. 99

The structure in POSCAR format:
```
ScMnBe2
1.0
2.752 0.000 0.000
0.000 2.752 0.000
0.000 0.000 6.485
Sc Mn Be
1 1 2
Cartesian
0.000 0.000 0.000 Sc
1.376 1.376 4.543 Mn
0.000 0.000 3.173 Be
1.376 1.376 2.077 Be
```

The following is a SCAN calculation of a crystal of Sc2MnBe relaxed with PBEsol, from Alexandria.

Output
energy relative to the elements: -0.050 eV per atom
E: -12.821 eV/atom
magnetic moment: 2.29 μB per cell
calculated volume: 15.8 A^3/atom
space-group type: No. 8

The structure in POSCAR format:
```
Sc2MnBe
1.0
4.955 -1.476 0.000
4.955 1.476 0.000
-1.551 0.000 4.325
Sc Mn Be
2 1 1
Cartesian
0.000 0.000 0.000 Sc
1.014 0.000 2.790 Sc
7.350 0.000 0.855 Mn
3.734 0.000 1.990 Be
```

The following is a SCAN calculation of a crystal of ScMnBe4 relaxed with PBEsol, from Alexandria.

Output
energy relative to the elements: -0.207 eV per atom
E: -8.525 eV/atom
magnetic moment: 2.01 μB per cell
calculated volume: 10.4 A^3/atom
space-group type: No. 216

The structure in POSCAR format:
```
ScMnBe4
1.0
0.000 3.151 3.151
3.151 0.000 3.151
3.151 3.151 0.000
Sc Mn Be
1 1 4
Cartesian
0.000 0.000 0.000 Sc
4.726 4.726 4.726 Mn
2.375 2.375 2.375 Be
3.926 3.926 2.375 Be
3.926 2.375 3.926 Be
2.375 3.926 3.926 Be
```

The following is a SCAN calculation of a crystal of Mn4BeSe relaxed with PBEsol, from Alexandria.

Output
E: -15.597 eV/atom
magnetic moment: 0.00 μB per cell
formation energy (no corrections): 0.645 eV per atom
calculated volume: 11.6 A^3/atom
space-group type: No. 216

The structure in POSCAR format:
```
Mn4BeSe
1.0
0.000 3.266 3.266
3.266 0.000 3.266
3.266 3.266 0.000
Mn Be Se
4 1 1
Cartesian
0.816 0.816 0.816 Mn
2.450 2.450 0.816 Mn
2.450 0.816 2.450 Mn
0.816 2.450 2.450 Mn
3.266 3.266 3.266 Be
4.899 4.899 4.899 Se
```

The following is a SCAN calculation of a crystal of MnBe2Se relaxed with PBEsol, from Alexandria.

Output
E: -11.640 eV/atom
magnetic moment: 2.81 μB per cell
formation energy (no corrections): 0.121 eV per atom
calculated volume: 12.2 A^3/atom
space-group type: No. 10

The structure in POSCAR format:
```
MnBe2Se
1.0
2.786 0.000 0.000
0.000 3.331 0.000
-0.639 0.000 5.255
Mn Be Se
1 2 1
Cartesian
0.000 0.000 0.000 Mn
0.797 1.666 4.229 Be
1.350 1.666 1.026 Be
1.074 0.000 2.628 Se
```

The following is a SCAN calculation of a crystal of MnBe2Se relaxed with PBEsol, from Alexandria.

Output
E: -11.572 eV/atom
magnetic moment: 2.52 μB per cell
formation energy (no corrections): 0.188 eV per atom
calculated volume: 11.0 A^3/atom
space-group type: No. 139

The structure in POSCAR format:
```
MnBe2Se
1.0
-1.701 1.701 3.817
1.701 -1.701 3.817
1.701 1.701 -3.817
Mn Be Se
1 2 1
Cartesian
0.000 0.000 0.000 Mn
1.701 0.000 1.908 Be
0.000 1.701 1.908 Be
0.000 0.000 3.817 Se
```

The following is a SCAN calculation of a crystal of MnBe2Si relaxed with PBEsol, from Alexandria.

Output
E: -9.025 eV/atom
magnetic moment: 1.92 μB per cell
formation energy (no corrections): 0.220 eV per atom
calculated volume: 10.3 A^3/atom
space-group type: No. 166

The structure in POSCAR format:
```
MnBe2Si
1.0
1.258 0.726 7.547
-1.258 0.726 7.547
0.000 -1.452 7.547
Mn Be Si
1 2 1
Cartesian
0.000 0.000 0.000 Mn
0.000 0.000 5.723 Be
0.000 0.000 16.917 Be
0.000 0.000 11.320 Si
```